# 1
# GGA-PBEsol Ti2Be2Rh, relaxed
# size of the total moment: 0.0 μB/f.u.
# energy relative to the elements: -433 meV/atom
data_Ti2Be2Rh
_cell_length_a 6.1730
_cell_length_b 6.1730
_cell_length_c 3.1860
_cell_angle_alpha 90.00
_cell_angle_beta 90.00
_cell_angle_gamma 90.00
_space_group_name_H-M_alt 'P 4/m b m'
_space_group_IT_number 127
_space_group_name_Hall '-P 4 2ab'
loop_
_atom_site_label
_atom_site_fract_x
_atom_site_fract_y
_atom_site_fract_z
Ti1 0.1745 0.3255 0.0000
Be1 0.1223 0.6223 0.5000
Rh1 0.0000 0.0000 0.5000

=====

# 2
# GGA-PBEsol TiBe2Rh2, relaxed
# size of the total moment: 0.0 μB/f.u.
# energy relative to the elements: -644 meV/atom
data_TiBe2Rh2
_cell_length_a 6.4434
_cell_length_b 6.4434
_cell_length_c 2.7690
_cell_angle_alpha 90.00
_cell_angle_beta 90.00
_cell_angle_gamma 90.00
_space_group_name_H-M_alt 'P 4/m b m'
_space_group_IT_number 127
_space_group_name_Hall '-P 4 2ab'
loop_
_atom_site_label
_atom_site_fract_x
_atom_site_fract_y
_atom_site_fract_z
Ti1 0.0000 0.0000 0.0000
Be1 0.1187 0.3813 0.0000
Rh1 0.1740 0.6740 0.5000

=====

# 3
# GGA-PBEsol BeTl2Rh, relaxed
# size of the total moment: 0.0 μB/f.u.
# relative energy among the computed polymorphs: 294 meV per atom
# energy relative to the elements: 487 meV/atom
data_BeTl2Rh
_cell_length_a 3.3168
_cell_length_b 4.2355
_cell_length_c 5.1255
_cell_angle_alpha 90.00
_cell_angle_beta 90.00
_cell_angle_gamma 90.00
_space_group_name_H-M_alt 'P m m m'
_space_group_IT_number 47
_space_group_name_Hall '-P 2 2'
loop_
_atom_site_label
_atom_site_fract_x
_atom_site_fract_y
_atom_site_fract_z
Be1 0.0000 0.0000 0.0000
Tl1 0.0000 0.5000 0.5000
Tl2 0.5000 0.5000 0.0000
Rh1 0.5000 0.0000 0.5000

=====

# 4
# GGA-PBEsol BeTl2Rh, relaxed
# size of the total moment: 0.0 μB/f.u.
# relative energy among the computed polymorphs: 378 meV per atom
# energy relative to the elements: 571 meV/atom
data_BeTl2Rh
_cell_length_a 6.5969
_cell_length_b 6.5969
_cell_length_c 6.5969
_cell_angle_alpha 90.00
_cell_angle_beta 90.00
_cell_angle_gamma 90.00
_space_group_name_H-M_alt 'F -4 3 m'
_space_group_IT_number 216
_space_group_name_Hall 'F -4 2 3'
loop_
_atom_site_label
_atom_site_fract_x
_atom_site_fract_y
_atom_site_fract_z
Be1 0.0000 0.0000 0.0000
Tl1 0.0000 0.0000 0.5000
Tl2 0.2500 0.2500 0.2500
Rh1 0.2500 0.2500 0.7500

=====

# 5
# GGA-PBEsol BeTl2Rh, relaxed
# size of the total moment: 0.0 μB/f.u.
# relative energy among the computed polymorphs: 0 meV per atom
# energy relative to the elements: 193 meV/atom
data_BeTl2Rh
_cell_length_a 3.0822
_cell_length_b 4.3627
_cell_length_c 10.9526
_cell_angle_alpha 90.00
_cell_angle_beta 90.00
_cell_angle_gamma 90.00
_space_group_name_H-M_alt 'I m m 2'
_space_group_IT_number 44
_space_group_name_Hall 'I 2 -2'
loop_
_atom_site_label
_atom_site_fract_x
_atom_site_fract_y
_atom_site_fract_z
Be1 0.0000 0.0000 0.0000
Tl1 0.0000 0.0000 0.4339
Tl2 0.0000 0.5000 0.2147
Rh1 0.0000 0.5000 0.6451

=====

# 6
# GGA-PBEsol BeRh2W, relaxed
# size of the total moment: 0.0 μB/f.u.
# energy relative to the elements: -186 meV/atom
data_BeRh2W
_cell_length_a 2.7452
_cell_length_b 2.7452
_cell_length_c 6.6266
_cell_angle_alpha 90.00
_cell_angle_beta 90.00
_cell_angle_gamma 90.00
_space_group_name_H-M_alt 'P 4 m m'
_space_group_IT_number 99
_space_group_name_Hall 'P 4 -2'
loop_
_atom_site_label
_atom_site_fract_x
_atom_site_fract_y
_atom_site_fract_z
Be1 0.0000 0.0000 0.0000
Rh1 0.0000 0.0000 0.4700
Rh2 0.5000 0.5000 0.1789
W1 0.5000 0.5000 0.7540

=====

# 7
# GGA-PBEsol BeRh2W, relaxed
# size of the total moment: 0.0 μB/f.u.
# energy relative to the elements: -145 meV/atom
data_BeRh2W
_cell_length_a 2.7234
_cell_length_b 3.7808
_cell_length_c 5.1209
_cell_angle_alpha 90.00
_cell_angle_beta 90.00
_cell_angle_gamma 90.00
_space_group_name_H-M_alt 'P m m 2'
_space_group_IT_number 25
_space_group_name_Hall 'P 2 -2'
loop_
_atom_site_label
_atom_site_fract_x
_atom_site_fract_y
_atom_site_fract_z
Be1 0.0000 0.0000 0.0000
Rh1 0.0000 0.0000 0.4875
Rh2 0.5000 0.5000 0.1737
W1 0.5000 0.5000 0.7133

=====

# 8
# GGA-PBEsol Be2RhW, relaxed
# size of the total moment: 0.0 μB/f.u.
# energy relative to the elements: 79 meV/atom
data_Be2RhW
_cell_length_a 5.7646
_cell_length_b 5.7646
_cell_length_c 5.7646
_cell_angle_alpha 90.00
_cell_angle_beta 90.00
_cell_angle_gamma 90.00
_space_group_name_H-M_alt 'F -4 3 m'
_space_group_IT_number 216
_space_group_name_Hall 'F -4 2 3'
loop_
_atom_site_label
_atom_site_fract_x
_atom_site_fract_y
_atom_site_fract_z
Be1 0.0000 0.0000 0.0000
Be2 0.2500 0.2500 0.2500
Rh1 0.2500 0.2500 0.7500
W1 0.0000 0.0000 0.5000

=====

# 9
# GGA-PBEsol BeRh2W, relaxed
# size of the total moment: 0.0 μB/f.u.
# energy relative to the elements: -231 meV/atom
data_BeRh2W
_cell_length_a 3.8037
_cell_length_b 3.8037
_cell_length_c 7.1712
_cell_angle_alpha 90.00
_cell_angle_beta 90.00
_cell_angle_gamma 90.00
_space_group_name_H-M_alt 'I 4/m m m'
_space_group_IT_number 139
_space_group_name_Hall '-I 4 2'
loop_
_atom_site_label
_atom_site_fract_x
_atom_site_fract_y
_atom_site_fract_z
Be1 0.0000 0.0000 0.0000
Rh1 0.0000 0.5000 0.2500
W1 0.0000 0.0000 0.5000

=====

# 10
# GGA-PBEsol BeRh2W, relaxed
# size of the total moment: 0.0 μB/f.u.
# energy relative to the elements: -439 meV/atom
data_BeRh2W
_cell_length_a 2.7600
_cell_length_b 2.7600
_cell_length_c 6.5166
_cell_angle_alpha 90.00
_cell_angle_beta 90.00
_cell_angle_gamma 90.00
_space_group_name_H-M_alt 'P 4/m m m'
_space_group_IT_number 123
_space_group_name_Hall '-P 4 2'
loop_
_atom_site_label
_atom_site_fract_x
_atom_site_fract_y
_atom_site_fract_z
Be1 0.0000 0.0000 0.0000
Rh1 0.5000 0.5000 0.2138
W1 0.0000 0.0000 0.5000

=====

# 11
# GGA-PBEsol YBe2Rh, relaxed
# size of the total moment: 0.0 μB/f.u.
# relative energy among the computed polymorphs: 443 meV per atom
# energy relative to the elements: 5 meV/atom
data_YBe2Rh
_cell_length_a 6.1813
_cell_length_b 6.1813
_cell_length_c 6.1813
_cell_angle_alpha 90.00
_cell_angle_beta 90.00
_cell_angle_gamma 90.00
_space_group_name_H-M_alt 'F -4 3 m'
_space_group_IT_number 216
_space_group_name_Hall 'F -4 2 3'
loop_
_atom_site_label
_atom_site_fract_x
_atom_site_fract_y
_atom_site_fract_z
Y1 0.0000 0.0000 0.0000
Be1 0.0000 0.0000 0.5000
Be2 0.2500 0.2500 0.2500
Rh1 0.2500 0.2500 0.7500

=====

# 12
# GGA-PBEsol YBeRh2, relaxed
# size of the total moment: 0.0 μB/f.u.
# energy relative to the elements: -449 meV/atom
data_YBeRh2
_cell_length_a 3.9482
_cell_length_b 3.9482
_cell_length_c 14.1678
_cell_angle_alpha 90.00
_cell_angle_beta 90.00
_cell_angle_gamma 120.00
_space_group_name_H-M_alt 'R -3 m'
_space_group_IT_number 166
_space_group_name_Hall '-R 3 2"'
loop_
_atom_site_label
_atom_site_fract_x
_atom_site_fract_y
_atom_site_fract_z
Y1 0.0000 0.0000 0.0000
Be1 0.0000 0.0000 0.5000
Rh1 0.0000 0.0000 0.2145

=====

# 13
# GGA-PBEsol YBe4Rh, relaxed
# size of the total moment: 0.0 μB/f.u.
# energy relative to the elements: -352 meV/atom
data_YBe4Rh
_cell_length_a 6.5470
_cell_length_b 6.5470
_cell_length_c 6.5470
_cell_angle_alpha 90.00
_cell_angle_beta 90.00
_cell_angle_gamma 90.00
_space_group_name_H-M_alt 'F -4 3 m'
_space_group_IT_number 216
_space_group_name_Hall 'F -4 2 3'
loop_
_atom_site_label
_atom_site_fract_x
_atom_site_fract_y
_atom_site_fract_z
Y1 0.0000 0.0000 0.0000
Be1 0.1215 0.1215 0.3785
Rh1 0.2500 0.2500 0.7500

=====

# 14
# GGA-PBEsol Y2BeRh, relaxed
# size of the total moment: 0.0 μB/f.u.
# energy relative to the elements: -414 meV/atom
data_Y2BeRh
_cell_length_a 3.8752
_cell_length_b 3.8752
_cell_length_c 20.3543
_cell_angle_alpha 90.00
_cell_angle_beta 90.00
_cell_angle_gamma 120.00
_space_group_name_H-M_alt 'R 3 m'
_space_group_IT_number 160
_space_group_name_Hall 'R 3 -2"'
loop_
_atom_site_label
_atom_site_fract_x
_atom_site_fract_y
_atom_site_fract_z
Y1 0.0000 0.0000 0.0000
Y2 0.0000 0.0000 0.1826
Be1 0.0000 0.0000 0.4240
Rh1 0.0000 0.0000 0.7596

=====

| no. | DFT total energy (eV per formula unit) |
| --- | --- |
| 1 | -34.949 |
| 2 | -35.818 |
| 3 | -15.449 |
| 4 | -15.113 |
| 5 | -16.626 |
| 6 | -34.828 |
| 7 | -34.666 |
| 8 | -29.631 |
| 9 | -35.008 |
| 10 | -35.839 |
| 11 | -22.943 |
| 12 | -28.895 |
| 13 | -33.073 |
| 14 | -27.441 |